Record 1
Entry from the Alexandria database: crystalline BaNaCeF6 at its relaxed geometry (PBE).

The energy relative to the elements, uncorrected comes out at -3.63 eV per atom.

The space group is P-31c (No. 163) and the conventional cell measures 6.1203, 6.1203 and 11.1140 Å, with angles of 90.00, 90.00 and 120.00 degrees. Symmetry generates all atoms from Ba at (0.0000, 0.0000, 0.0000), Na at (0.3333, 0.6667, 0.2500), Ce at (0.3333, 0.6667, 0.7500) and F at (0.0063, 0.3535, 0.6399).

=====

Record 2
Entry from the Alexandria database: crystalline Ba2CeO3F3 at its relaxed geometry (PBE).

The energy relative to the elements, uncorrected comes out at -3.13 eV per atom.

The space group is P-62m (No. 189) and the conventional cell measures 6.8046, 6.8046 and 3.6176 Å, with angles of 90.00, 90.00 and 120.00 degrees. Symmetry generates all atoms from Ba at (0.3333, 0.6667, 0.0000), Ce at (0.0000, 0.0000, 0.5000), O at (0.0000, 0.2221, 0.0000) and F at (0.0000, 0.6008, 0.5000).

=====

Record 3
Entry from the Alexandria database: crystalline BaCeO2F at its relaxed geometry (PBE).

The energy relative to the elements, uncorrected comes out at -3.22 eV per atom.

The space group is P4mm (No. 99) and the conventional cell measures 4.2575, 4.2575 and 5.8712 Å, with angles of 90.00, 90.00 and 90.00 degrees. Symmetry generates all atoms from Ba at (0.0000, 0.0000, 0.0000), Ce at (0.5000, 0.5000, 0.4012), O at (0.0000, 0.5000, 0.2626) and F at (0.5000, 0.5000, 0.8056).

=====

Record 4
Entry from the Alexandria database: crystalline Ba3Ce2O5F2 at its relaxed geometry (PBE).

The energy relative to the elements, uncorrected comes out at -3.11 eV per atom.

The space group is I4/mmm (No. 139) and the conventional cell measures 4.4694, 4.4694 and 24.0999 Å, with angles of 90.00, 90.00 and 90.00 degrees. Symmetry generates all atoms from Ba at (0.0000, 0.0000, 0.0000), Ba at (0.0000, 0.0000, 0.1809), Ce at (0.0000, 0.0000, 0.4046), O at (0.0000, 0.0000, 0.5000), O at (0.0000, 0.5000, 0.1155) and F at (0.0000, 0.0000, 0.2911).

=====

Record 5
Entry from the Alexandria database: crystalline Rb2BaCeF8 at its relaxed geometry (PBE).

The energy relative to the elements, uncorrected comes out at -3.50 eV per atom.

The space group is I-4m2 (No. 119) and the conventional cell measures 6.2652, 6.2652 and 11.8407 Å, with angles of 90.00, 90.00 and 90.00 degrees. Symmetry generates all atoms from Rb at (0.0000, 0.0000, 0.0000), Rb at (0.0000, 0.5000, 0.2500), Ba at (0.0000, 0.0000, 0.5000), Ce at (0.0000, 0.5000, 0.7500) and F at (0.2063, 0.2809, 0.6370).

=====

Record 6
Entry from the Alexandria database: crystalline BaCeS2F at its relaxed geometry (PBE).

The energy relative to the elements, uncorrected comes out at -2.53 eV per atom.

The space group is P4/nmm (No. 129, origin choice 2) and the conventional cell measures 4.1661, 4.1661 and 14.5015 Å, with angles of 90.00, 90.00 and 90.00 degrees. Symmetry generates all atoms from Ba at (0.2500, 0.2500, 0.1130), Ce at (0.2500, 0.2500, 0.6112), S at (0.2500, 0.2500, 0.4082), S at (0.2500, 0.2500, 0.7883) and F at (0.2500, 0.7500, 0.0000).

=====

Record 7
Entry from the Alexandria database: crystalline BaCeSe2F at its relaxed geometry (PBE).

The energy relative to the elements, uncorrected comes out at -2.44 eV per atom.

The space group is P4/nmm (No. 129, origin choice 2) and the conventional cell measures 4.3086, 4.3086 and 14.9766 Å, with angles of 90.00, 90.00 and 90.00 degrees. Symmetry generates all atoms from Ba at (0.2500, 0.2500, 0.1056), Ce at (0.2500, 0.2500, 0.6128), Se at (0.2500, 0.2500, 0.4069), Se at (0.2500, 0.2500, 0.7934) and F at (0.2500, 0.7500, 0.0000).

=====

Let's list magnetization in order: 2.0 1.0 0.9 3.6 0.0 1.7 1.8 μB per cell.
Let's list E_tot in order: -53.11 -58.47 -35.75 -83.54 -66.78 -30.65 -28.92 eV per formula unit.